DFT (PBE+U) results for crystalline Zr2TlWO8 at its relaxed geometry.

abc: 4.921 4.921 6.786
angles: 90.00 90.00 90.76
Element x y z (fractional)
Zr: 0.000 0.000 0.248
Zr: 0.000 0.000 0.752
Tl: 0.500 0.500 0.000
W: 0.500 0.500 0.500
O: 0.175 0.825 0.000
O: 0.213 0.787 0.500
O: 0.302 0.302 0.296
O: 0.302 0.302 0.704
O: 0.698 0.698 0.296
O: 0.698 0.698 0.704
O: 0.787 0.213 0.500
O: 0.825 0.175 0.000

Values from the calculation:
DOS(E_F)	1.5	states/eV/f.u.
energy	-7.8654	eV per atom
theoretical density	7.06	Mg/m³
total magnetization	0.000	μB per atom